AgTe2Cl | Alexandria | GGA-PBEsol | relaxed; crystal system = monoclinic; raw formation energy = -0.137 eV per atom; total moment = 0.000 μB per formula unit
1.0
5.800 -1.629 0.000
5.800 1.629 0.000
-0.820 0.000 5.607
Ag Te Cl
1 2 1
direct
0.000 0.000 0.000 Ag
0.376 0.376 0.649 Te
0.572 0.572 0.400 Te
0.224 0.224 0.980 Cl